A geometry-optimized Dy4UAs5 structure. Source: Alexandria, functional PBE.

a = 5.8106 Å, b = 7.1093 Å, c = 7.1093 Å
α = 80.39°, β = 65.88°, γ = 65.88°
Site moments in Bohr magnetons follow the coordinates.
Sites, in units of the cell vectors:
U1 0.0011 0.0000 0.0000  2.05
As1 0.9032 0.3935 0.8022  -0.03
As2 0.5011 0.0000 0.0000  -0.04
As3 0.0989 0.6065 0.1978  -0.03
As4 0.2967 0.8022 0.6065  -0.03
As5 0.7053 0.1978 0.3935  -0.03
Dy1 0.2003 0.2020 0.3994  0.02
Dy2 0.8017 0.7980 0.6006  0.02
Dy3 0.5997 0.6006 0.2020  0.02
Dy4 0.4023 0.3994 0.7980  0.02

Properties
Its total magnetization is 2.2 μB per formula unit. As for the energy: -6.669 eV per atom. For the density, the calculation gives 8.6 g/cm3. Its space group is I4/m, No. 87.



A geometry-optimized PrSm5Pb6 structure. Source: Alexandria, functional PBE.

a = 5.0322 Å, b = 9.1643 Å, c = 9.2969 Å
α = 119.53°, β = 105.70°, γ = 90.00°
Sites, in units of the cell vectors:
Sm1 0.3328 0.8329 0.6657
Sm2 0.6672 0.1671 0.3343
Sm3 0.3330 0.3330 0.6659
Sm4 0.0000 0.5000 0.0000
Sm5 0.6670 0.6670 0.3341
Pb1 0.5000 0.2523 0.0000
Pb2 0.8324 0.5813 0.6648
Pb3 0.1676 0.4187 0.3352
Pb4 0.5000 0.7477 0.0000
Pb5 0.8324 0.0835 0.6648
Pb6 0.1676 0.9165 0.3352
Pr1 0.0000 0.0000 0.0000

Properties
Its total magnetization is 0.0 μB per formula unit. As for the energy: -4.714 eV per atom. For the density, the calculation gives 10.0 g/cm3. Its space group is Immm, No. 71.



A geometry-optimized Ti2CrIr2 structure. Source: Alexandria, functional PBE.

a = 7.2900 Å, b = 7.2900 Å, c = 2.9143 Å
α = 90.00°, β = 90.00°, γ = 90.00°
Sites, in units of the cell vectors:
Ti1 0.3368 0.1632 0.5000
Ti2 0.1632 0.6632 0.5000
Ti3 0.8368 0.3368 0.5000
Ti4 0.6632 0.8368 0.5000
Cr1 0.0000 0.0000 0.0000
Cr2 0.5000 0.5000 0.0000
Ir1 0.8629 0.6371 0.0000
Ir2 0.6371 0.1371 0.0000
Ir3 0.3629 0.8629 0.0000
Ir4 0.1371 0.3629 0.0000

Properties
Its total magnetization is 0.0 μB per formula unit. As for the energy: -8.901 eV per atom. For the density, the calculation gives 11.4 g/cm3. Its space group is P4/mbm, No. 127.



Q: Look up the density of the first one.
A: 8.6 g/cm3